(1)
Compound: InSbCl
Source: the Alexandria database
Functional: PBE-GGA
Structure: optimized geometry

a = 3.4488 Å, b = 5.3993 Å, c = 9.8293 Å
α = 90.00°, β = 90.00°, γ = 90.00°
Closest atoms and distances in Å follow each position.
Space group Imm2 (No. 44)
Asymmetric unit:
In  0.0000  0.0000  0.0000 x2  1 Cl 2.95, 4 Sb 3.25
Sb  0.0000  0.0000  0.5576 x2  1 Cl 2.53
Cl  0.0000  0.0000  0.2998 x2  1 Sb 2.53

Results
M_tot (μB per atom): 0.0000
Raw total energy (eV per atom): -3.101

(2)
Compound: TbDyLuGa
Source: the Alexandria database
Functional: PBE-GGA
Structure: optimized geometry

a = 7.4755 Å, b = 7.4755 Å, c = 7.4755 Å
α = 90.00°, β = 90.00°, γ = 90.00°
Closest atoms and distances in Å follow each position.
Space group F-43m (No. 216)
Asymmetric unit:
Tb  0.0000  0.0000  0.0000 x4  4 Ga 3.24, 4 Lu 3.24
Dy  0.0000  0.0000  0.5000 x4  4 Lu 3.24, 4 Ga 3.24
Lu  0.2500  0.2500  0.7500 x4  4 Tb 3.24, 4 Dy 3.24
Ga  0.2500  0.2500  0.2500 x4  4 Tb 3.24, 4 Dy 3.24

Results
M_tot (μB per atom): 0.0262
Raw total energy (eV per atom): -4.300
ΔH_f (0 K) (meV per atom): -105

(3)
Compound: AgGeRu2I
Source: the Alexandria database
Functional: PBE-GGA
Structure: optimized geometry

a = 5.0559 Å, b = 5.0559 Å, c = 5.2260 Å
α = 90.00°, β = 90.00°, γ = 90.00°
Closest atoms and distances in Å follow each position.
Space group P4/mmm (No. 123)
Asymmetric unit:
Ag  0.0000  0.0000  0.0000 x1  4 Ru 2.53, 2 I 2.61
Ge  0.5000  0.5000  0.5000 x1  4 I 3.58, 8 Ru 3.64
Ru  0.0000  0.5000  0.0000 x2  2 Ag 2.53
I  0.0000  0.0000  0.5000 x1  2 Ag 2.61

Results
M_tot (μB per atom): 0.8084
Raw total energy (eV per atom): -3.582

(4)
Compound: RePb3
Source: the Alexandria database
Functional: PBE-GGA
Structure: optimized geometry

a = 6.7140 Å, b = 9.1215 Å, c = 3.3200 Å
α = 90.00°, β = 90.00°, γ = 90.00°
Closest atoms and distances in Å follow each position.
Space group Cmmm (No. 65)
Asymmetric unit:
Re  0.0000  0.0000  0.0000 x2  10 Pb 3.28-3.36, 2 Re 3.32
Pb  0.0000  0.5000  0.0000 x2  10 Pb 3.28-3.32, 2 Re 3.36
Pb  0.2500  0.2500  0.5000 x4  8 Pb 3.28-3.36, 4 Re 3.28

Results
M_tot (μB per atom): 0.5607
Raw total energy (eV per atom): -4.868
ΔH_f (0 K) (meV per atom): 1025

(5)
Compound: CsNaTl2Te
Source: the Alexandria database
Functional: PBE-GGA
Structure: optimized geometry

a = 6.5692 Å, b = 6.5692 Å, c = 7.1716 Å
α = 90.00°, β = 90.00°, γ = 90.00°
Closest atoms and distances in Å follow each position.
Space group P4/mmm (No. 123)
Asymmetric unit:
Cs  0.0000  0.0000  0.0000 x1  2 Te 3.59
Na  0.5000  0.5000  0.0000 x1  4 Cs 4.65, 8 Tl 4.86
Tl  0.0000  0.5000  0.5000 x2  2 Te 3.28
Te  0.0000  0.0000  0.5000 x1  4 Tl 3.28, 2 Cs 3.59

Results
M_tot (μB per atom): 0.0000
Raw total energy (eV per atom): -2.041

(6)
Compound: AlAs2O
Source: the Alexandria database
Functional: PBE-GGA
Structure: optimized geometry

a = 4.9800 Å, b = 4.9800 Å, c = 12.4551 Å
α = 90.00°, β = 90.00°, γ = 90.00°
Closest atoms and distances in Å follow each position.
Space group I-42d (No. 122)
Asymmetric unit:
Al  0.0000  0.0000  0.0000 x4  4 As 2.57
As  0.1755  0.2500  0.6250 x8  2 O 2.18
O  0.0000  0.0000  0.5000 x4  4 As 2.18

Results
M_tot (μB per atom): 0.0000
Raw total energy (eV per atom): -4.552

(7)
Compound: Cs2PbF5
Source: the Alexandria database
Functional: PBE-GGA
Structure: optimized geometry

a = 7.0577 Å, b = 7.0577 Å, c = 8.4558 Å
α = 90.00°, β = 90.00°, γ = 90.00°
Closest atoms and distances in Å follow each position.
Space group I4mm (No. 107)
Asymmetric unit:
Cs  0.0000  0.5000  0.0000 x4  10 F 3.21-3.53
Pb  0.0000  0.0000  0.2488 x2  5 F 2.10-2.23
F  0.0000  0.0000  0.4973 x2  1 Pb 2.10
F  0.2229  0.2229  0.2359 x8  1 Pb 2.23

Results
M_tot (μB per atom): 0.1268
Raw total energy (eV per atom): -4.215

(8)
Compound: LiPb2Cl6
Source: the Alexandria database
Functional: PBE-GGA
Structure: optimized geometry

a = 6.8962 Å, b = 6.7536 Å, c = 13.5396 Å
α = 90.00°, β = 120.43°, γ = 90.00°
Closest atoms and distances in Å follow each position.
Space group P2_1/c (No. 14)
Asymmetric unit:
Li  0.0000  0.0000  0.0000 x2  6 Cl 2.55-2.70
Pb  0.3190  0.0037  0.8178 x4  6 Cl 2.79-2.84
Cl  0.0008  0.2221  0.1636 x4  1 Li 2.67, 2 Pb 2.79-2.82
Cl  0.3133  0.2022  0.0016 x4  1 Li 2.55, 2 Pb 2.84
Cl  0.3242  0.7336  0.6602 x4  1 Li 2.70, 2 Pb 2.79-2.82

Results
M_tot (μB per atom): 0.0000
Raw total energy (eV per atom): -3.389

(9)
Compound: SrCr2Rh
Source: the Alexandria database
Functional: PBE-GGA
Structure: optimized geometry

a = 2.7867 Å, b = 2.7867 Å, c = 29.3120 Å
α = 90.00°, β = 90.00°, γ = 120.00°
Closest atoms and distances in Å follow each position.
Space group R-3m (No. 166, hexagonal axes)
Asymmetric unit:
Sr  0.0000  0.0000  0.0000 x3  6 Sr 2.79
Cr  0.0000  0.0000  0.2369 x6  3 Rh 2.61, 6 Cr 2.79
Rh  0.0000  0.0000  0.5000 x3  6 Cr 2.61, 6 Rh 2.79

Results
M_tot (μB per atom): 0.0001
Raw total energy (eV per atom): -5.992
ΔH_f (0 K) (meV per atom): 1078

(10)
Compound: CaPuCdAu
Source: the Alexandria database
Functional: PBE-GGA
Structure: optimized geometry

a = 7.4445 Å, b = 7.4445 Å, c = 7.4445 Å
α = 90.00°, β = 90.00°, γ = 90.00°
Closest atoms and distances in Å follow each position.
Space group F-43m (No. 216)
Asymmetric unit:
Ca  0.0000  0.0000  0.0000 x4  4 Au 3.22, 4 Cd 3.22
Pu  0.0000  0.0000  0.5000 x4  4 Cd 3.22, 4 Au 3.22
Cd  0.2500  0.2500  0.2500 x4  4 Ca 3.22, 4 Pu 3.22
Au  0.2500  0.2500  0.7500 x4  4 Pu 3.22, 4 Ca 3.22

Results
M_tot (μB per atom): 1.4550
Raw total energy (eV per atom): -5.434
ΔH_f (0 K) (meV per atom): -303

(11)
Compound: NbFe3Sn
Source: the Alexandria database
Functional: PBE-GGA
Structure: optimized geometry

a = 4.5810 Å, b = 4.5810 Å, c = 4.5810 Å
α = 90.00°, β = 90.00°, γ = 90.00°
Closest atoms and distances in Å follow each position.
Space group Pm-3m (No. 221)
Asymmetric unit:
Nb  0.0000  0.0000  0.0000 x1  6 Fe 2.29
Fe  0.0000  0.0000  0.5000 x3  2 Nb 2.29
Sn  0.5000  0.5000  0.5000 x1  12 Fe 3.24

Results
M_tot (μB per atom): 1.0401
Raw total energy (eV per atom): -6.603
ΔH_f (0 K) (meV per atom): 1290

(12)
Compound: Li4ScGa
Source: the Alexandria database
Functional: PBE-GGA
Structure: optimized geometry

a = 7.3729 Å, b = 7.3729 Å, c = 7.3729 Å
α = 90.00°, β = 90.00°, γ = 90.00°
Closest atoms and distances in Å follow each position.
Space group F-43m (No. 216)
Asymmetric unit:
Li  0.1240  0.1240  0.3760 x16  6 Li 2.59-2.63
Sc  0.0000  0.0000  0.0000 x4  12 Li 3.06, 4 Ga 3.19
Ga  0.2500  0.2500  0.7500 x4  12 Li 3.05, 4 Sc 3.19

Results
M_tot (μB per atom): 0.0000
Raw total energy (eV per atom): -2.884
ΔH_f (0 K) (meV per atom): -49

(13)
Compound: Ta3S4
Source: the Alexandria database
Functional: PBE-GGA
Structure: optimized geometry

a = 13.5751 Å, b = 3.2470 Å, c = 6.0834 Å
α = 90.00°, β = 113.72°, γ = 90.00°
Closest atoms and distances in Å follow each position.
Space group C2/m (No. 12)
Asymmetric unit:
Ta  0.0000  0.0000  0.0000 x2  6 S 2.48-2.53
Ta  0.2418  0.5000  0.6830 x4  6 S 2.46-2.66
S  0.1052  0.0000  0.4403 x4  4 Ta 2.46-2.48
S  0.1374  0.5000  0.9716 x4  5 Ta 2.53-2.66

Results
M_tot (μB per atom): 0.0000
Raw total energy (eV per atom): -8.370

(14)
Compound: RbAcCdCl6
Source: the Alexandria database
Functional: PBE-GGA
Structure: optimized geometry

a = 7.2845 Å, b = 7.2845 Å, c = 14.3275 Å
α = 90.00°, β = 90.00°, γ = 120.00°
Closest atoms and distances in Å follow each position.
Space group P-31c (No. 163)
Asymmetric unit:
Rb  0.0000  0.0000  0.0000 x2  6 Cl 3.37
Ac  0.3333  0.6667  0.2500 x2  6 Cl 2.90
Cd  0.3333  0.6667  0.7500 x2  6 Cl 2.68
Cl  0.0228  0.3816  0.6408 x12  1 Cd 2.68, 1 Ac 2.90

Results
M_tot (μB per atom): 0.0000
Raw total energy (eV per atom): -3.778

(15)
Compound: K11Rb17Sn
Source: the Alexandria database
Functional: PBE-GGA
Structure: optimized geometry

a = 16.3511 Å, b = 24.2607 Å, c = 13.6703 Å
α = 90.00°, β = 121.16°, γ = 90.00°
Closest atoms and distances in Å follow each position.
Space group Cm (No. 8)
Asymmetric unit:
K  0.0000  0.0000  0.0000 x2  1 Sn 3.54
K  0.0124  0.3136  0.8094 x4  3 K 4.30-4.59, 2 Rb 4.56-4.57
K  0.0256  0.0876  0.3283 x4  2 K 4.25-4.40, 2 Rb 4.69-4.73
K  0.1068  0.4112  0.6000 x4  1 Sn 3.62
K  0.2367  0.3435  0.1878 x4  3 K 4.40-4.76, 5 Rb 4.61-4.83
K  0.4185  0.0877  0.9942 x4  3 K 4.25-4.76, 2 Rb 4.58-4.59
Rb  0.0178  0.2853  0.2819 x4  4 K 4.58-4.88, 5 Rb 4.75-5.01
Rb  0.0735  0.0000  0.7280 x2  1 Sn 4.12, 2 Rb 4.42, 1 K 4.46
Rb  0.1687  0.1960  0.6602 x4  4 K 4.69-5.01, 6 Rb 4.74-5.23
Rb  0.1739  0.1627  0.0229 x4  4 K 4.57-4.79, 5 Rb 4.71-5.01
Rb  0.1978  0.5000  0.3704 x2  1 Sn 3.99
Rb  0.1995  0.5000  0.9365 x2  1 Sn 4.38, 3 K 4.53-4.57, 2 Rb 4.82
Rb  0.3112  0.1807  0.4227 x4  4 K 4.56-4.83, 6 Rb 4.73-5.02
Rb  0.3330  0.0000  0.6305 x2  8 K 4.90-5.25, 5 Rb 5.06-5.24
Rb  0.3376  0.0000  0.2618 x2  5 K 4.78-4.97, 6 Rb 4.94-5.28
Rb  0.3557  0.3312  0.9378 x4  5 K 4.58-4.97, 5 Rb 4.62-4.92, 1 Sn 4.98
Rb  0.3683  0.3619  0.6122 x4  1 Sn 3.87
Sn  0.3137  0.5000  0.7091 x2  3 K 3.54-3.62, 2 Rb 3.87

Results
M_tot (μB per atom): 0.0000
Raw total energy (eV per atom): -1.114
ΔH_f (0 K) (meV per atom): 7

(16)
Compound: RbGeO2
Source: the Alexandria database
Functional: PBE-GGA
Structure: optimized geometry

a = 6.4872 Å, b = 3.9064 Å, c = 13.0311 Å
α = 90.00°, β = 90.00°, γ = 90.00°
Closest atoms and distances in Å follow each position.
Space group Pnma (No. 62)
Asymmetric unit:
Rb  0.0407  0.2500  0.1672 x4  5 O 2.89-3.10
Ge  0.0353  0.7500  0.4167 x4  1 O 1.73
O  0.1270  0.2500  0.4519 x4  3 Ge 2.01-2.09
O  0.1329  0.2500  0.6864 x4  1 Ge 1.73

Results
M_tot (μB per atom): 0.0000
Raw total energy (eV per atom): -5.228

(17)
Compound: Tl4P2Pb
Source: the Alexandria database
Functional: PBE-GGA
Structure: optimized geometry

a = 6.1590 Å, b = 6.1590 Å, c = 13.9101 Å
α = 90.00°, β = 90.00°, γ = 90.00°
Closest atoms and distances in Å follow each position.
Space group I4/mmm (No. 139)
Asymmetric unit:
Tl  0.0000  0.0000  0.2310 x4  1 P 2.70
Tl  0.0000  0.5000  0.0000 x4  2 Pb 3.08, 4 P 3.25
P  0.0000  0.0000  0.4248 x4  1 P 2.09
Pb  0.0000  0.0000  0.0000 x2  6 Tl 3.08-3.21

Results
M_tot (μB per atom): 0.0000
Raw total energy (eV per atom): -3.057
ΔH_f (0 K) (meV per atom): 370

(18)
Compound: Li3ZrCd6
Source: the Alexandria database
Functional: PBE-GGA
Structure: optimized geometry

a = 8.7694 Å, b = 4.5641 Å, c = 9.9426 Å
α = 90.00°, β = 99.25°, γ = 90.00°
Closest atoms and distances in Å follow each position.
Space group P2_1/m (No. 11)
Asymmetric unit:
Li  0.0513  0.2500  0.3959 x2  8 Cd 2.77-2.92
Li  0.1513  0.7500  0.1874 x2  8 Cd 2.80-2.90
Li  0.2447  0.2500  0.9707 x2  10 Cd 2.89-3.08
Zr  0.4449  0.2500  0.5957 x2  10 Cd 3.08-3.24, 2 Zr 3.22
Cd  0.0267  0.7500  0.8985 x2  7 Li 2.82-2.99, 3 Cd 3.06-3.13
Cd  0.1197  0.2500  0.6829 x2  5 Li 2.77-2.90, 2 Cd 3.05
Cd  0.2272  0.7500  0.4774 x2  4 Li 2.80-2.92, 3 Zr 3.08, 1 Cd 3.12
Cd  0.3318  0.2500  0.2828 x2  4 Li 2.85-3.07, 3 Zr 3.11-3.12, 3 Cd 3.12-3.18
Cd  0.3356  0.7500  0.7916 x2  8 Cd 3.00-3.12, 2 Li 3.08, 2 Zr 3.24
Cd  0.4364  0.7500  0.0945 x2  4 Li 2.80-2.98, 3 Cd 3.00-3.12, 1 Zr 3.09

Results
M_tot (μB per atom): 0.0000
Raw total energy (eV per atom): -2.163
ΔH_f (0 K) (meV per atom): -185

(19)
Compound: NiAs2W
Source: the Alexandria database
Functional: PBE-GGA
Structure: optimized geometry

a = 4.2078 Å, b = 3.0432 Å, c = 5.1096 Å
α = 90.00°, β = 113.18°, γ = 90.00°
Closest atoms and distances in Å follow each position.
Space group P2/m (No. 10)
Asymmetric unit:
Ni  0.0000  0.0000  0.0000 x1  6 As 2.59-2.60
As  0.5000  0.0000  0.5000 x1  2 Ni 2.59, 4 W 2.60
As  0.5000  0.5000  0.0000 x1  2 W 2.59, 4 Ni 2.60
W  0.0000  0.5000  0.5000 x1  6 As 2.59-2.60

Results
M_tot (μB per atom): 0.0000
Raw total energy (eV per atom): -6.802
ΔH_f (0 K) (meV per atom): 207

(20)
Compound: Ba4Na2N
Source: the Alexandria database
Functional: PBE-GGA
Structure: optimized geometry

a = 5.8188 Å, b = 5.8188 Å, c = 19.1772 Å
α = 90.00°, β = 90.00°, γ = 90.00°
Closest atoms and distances in Å follow each position.
Space group I4/mmm (No. 139)
Asymmetric unit:
Ba  0.0000  0.0000  0.1410 x4  1 N 2.70
Ba  0.0000  0.5000  0.0000 x4  2 N 2.91
Na  0.0000  0.0000  0.3467 x4  9 Ba 3.94-4.14
N  0.0000  0.0000  0.0000 x2  6 Ba 2.70-2.91

Results
M_tot (μB per atom): 0.0001
Raw total energy (eV per atom): -2.764